Entry from the Alexandria database: an optimized crystal structure of GaCu4Te5 (PBE).

abc: 4.2128 4.2128 52.0036
angles: 90.00 90.00 120.00
Space group R3m (No. 160, hexagonal axes)
Inequivalent atoms, fractional coordinates:
Ga (0.0000, 0.0000, 0.0000)
Cu (0.0000, 0.0000, 0.2043)
Cu (0.0000, 0.0000, 0.4079)
Cu (0.0000, 0.0000, 0.6023)
Cu (0.0000, 0.0000, 0.8056)
Te (0.0000, 0.0000, 0.1551)
Te (0.0000, 0.0000, 0.3572)
Te (0.0000, 0.0000, 0.5531)
Te (0.0000, 0.0000, 0.7565)
Te (0.0000, 0.0000, 0.9497)

Computed properties:
D(E_F) = 16.7 states/eV/cell
Formation energy (no corrections) = -0.111 eV per atom